DFT (PBE with a Hubbard U) results for crystalline Co3AgO at its relaxed geometry.

Cell: 4.7801 4.7801 4.7801 Å, 90.00 90.00 90.00°
Closest atoms and distances in Å follow each position.
Positions (direct):
Co  0.0000  0.0000  0.5000  2 Ag 2.39
Co  0.0000  0.5000  0.0000  2 Ag 2.39
Co  0.5000  0.0000  0.0000  2 Ag 2.39
Ag  0.0000  0.0000  0.0000  6 Co 2.39
O  0.5000  0.5000  0.5000  12 Co 3.38

Computed properties:
Magnetization ... 7.52 μB per formula unit
Crystal system ... cubic
Excess energy over the best structure of this formula in the dataset ... 1587 meV/atom
Density of states at the Fermi level ... 5.55 states/eV/f.u.